(1)
# LaAlIn2

A PBEsol-optimized structure of LaAlIn2 (meta-GGA SCAN, the Alexandria database).

Cell lengths 3.263, 4.928, 6.167 Å; angles 90.00, 90.06, 90.00 degrees
Element x y z (fractional)
In 0.998 0.500 0.256
In 0.000 0.000 0.992
Al 0.001 0.500 0.745
La 0.500 0.000 0.507

Output
The calculation puts the energy of formation at -30.57 kJ per mole of atoms. Its space group is Pm. The calculation puts the magnetic moment at 0.00 μB/f.u. The calculation puts the density of states at the Fermi level at 2.6 states/eV/cell.

(2)
# LaAlIn2

A PBEsol-optimized structure of LaAlIn2 (meta-GGA SCAN, the Alexandria database).

Cell lengths 4.520, 4.520, 5.815 Å; angles 112.87, 112.87, 90.00 degrees
Element x y z (fractional)
In 0.250 0.750 0.500
In 0.750 0.250 0.500
La 0.500 0.500 0.000
Al 0.000 0.000 0.000

Output
The calculation puts the energy of formation at -35.10 kJ per mole of atoms. Its space group is I4/mmm. The calculation puts the magnetic moment at 0.00 μB/f.u. The calculation puts the density of states at the Fermi level at 2.4 states/eV/cell.

(3)
# LaAl2In

A PBEsol-optimized structure of LaAl2In (meta-GGA SCAN, the Alexandria database).

Cell lengths 4.263, 4.382, 6.030 Å; angles 111.31, 110.70, 90.00 degrees
Element x y z (fractional)
Al 0.022 0.022 0.045
Al 0.692 0.192 0.384
In 0.510 0.510 0.020
La 0.276 0.776 0.551

Output
The calculation puts the energy of formation at -28.25 kJ per mole of atoms. Its space group is Imm2. The calculation puts the magnetic moment at 0.00 μB/f.u. The calculation puts the density of states at the Fermi level at 2.2 states/eV/cell.

(4)
# LaAlIn2

A PBEsol-optimized structure of LaAlIn2 (meta-GGA SCAN, the Alexandria database).

Cell lengths 4.580, 4.580, 4.659 Å; angles 90.00, 90.00, 90.00 degrees
Element x y z (fractional)
In 0.000 0.500 0.000
In 0.500 0.000 0.000
Al 0.000 0.000 0.500
La 0.500 0.500 0.500

Output
The calculation puts the energy of formation at -45.88 kJ per mole of atoms. Its space group is P4/mmm. The calculation puts the magnetic moment at 0.00 μB/f.u. The calculation puts the density of states at the Fermi level at 1.7 states/eV/cell.

(5)
# LiAlIn2

A PBEsol-optimized structure of LiAlIn2 (meta-GGA SCAN, the Alexandria database).

Cell lengths 4.363, 4.363, 5.238 Å; angles 114.61, 114.61, 90.00 degrees
Element x y z (fractional)
Li 0.500 0.500 0.000
In 0.750 0.250 0.500
In 0.250 0.750 0.500
Al 0.000 0.000 0.000

Output
The calculation puts the energy of formation at -11.63 kJ per mole of atoms. Its space group is I4/mmm. The calculation puts the magnetic moment at 0.00 μB/f.u. The calculation puts the density of states at the Fermi level at 1.2 states/eV/cell.

(6)
# LiAlIn2

A PBEsol-optimized structure of LiAlIn2 (meta-GGA SCAN, the Alexandria database).

Cell lengths 4.940, 4.940, 4.940 Å; angles 60.00, 60.00, 60.00 degrees
Element x y z (fractional)
Al 0.500 0.500 0.500
Li 0.250 0.250 0.250
In 0.000 0.000 0.000
In 0.750 0.750 0.750

Output
The calculation puts the energy of formation at 0.64 kJ per mole of atoms. Its space group is F-43m. The calculation puts the magnetic moment at 0.00 μB/f.u. The calculation puts the density of states at the Fermi level at 1.1 states/eV/cell.

(7)
# LiAlIn2

A PBEsol-optimized structure of LiAlIn2 (meta-GGA SCAN, the Alexandria database).

Cell lengths 4.232, 4.232, 5.425 Å; angles 112.96, 112.96, 90.00 degrees
Element x y z (fractional)
In 0.750 0.250 0.500
In 0.000 0.000 0.000
Al 0.250 0.750 0.500
Li 0.500 0.500 0.000

Output
The calculation puts the energy of formation at -10.45 kJ per mole of atoms. Its space group is I-4m2. The calculation puts the magnetic moment at 0.00 μB/f.u. The calculation puts the density of states at the Fermi level at 1.4 states/eV/cell.

(8)
# LiAlIn

A PBEsol-optimized structure of LiAlIn (meta-GGA SCAN, the Alexandria database).

Cell lengths 3.456, 3.456, 5.370 Å; angles 108.77, 108.77, 90.00 degrees
Element x y z (fractional)
Li 0.337 0.337 0.674
Al 0.994 0.994 0.989
In 0.668 0.668 0.337

Output
The calculation puts the energy of formation at -5.83 kJ per mole of atoms. Its space group is I4mm. The calculation puts the magnetic moment at 0.00 μB/f.u. The calculation puts the density of states at the Fermi level at 1.2 states/eV/cell.

(9)
# LiAlIn2

A PBEsol-optimized structure of LiAlIn2 (meta-GGA SCAN, the Alexandria database).

Cell lengths 3.139, 4.141, 6.204 Å; angles 90.00, 90.00, 90.00 degrees
Element x y z (fractional)
In 0.000 0.000 0.752
In 0.000 0.000 0.248
Al 0.500 0.500 0.500
Li 0.500 0.500 0.000

Output
The calculation puts the energy of formation at -11.92 kJ per mole of atoms. Its space group is Pmmm. The calculation puts the magnetic moment at 0.00 μB/f.u. The calculation puts the density of states at the Fermi level at 1.4 states/eV/cell.

(10)
# Sr2LiAlIn

A PBEsol-optimized structure of Sr2LiAlIn (meta-GGA SCAN, the Alexandria database).

Cell lengths 4.744, 5.748, 5.748 Å; angles 90.00, 90.00, 90.00 degrees
Element x y z (fractional)
Li 0.000 0.000 0.000
Sr 0.000 0.500 0.000
Sr 0.000 0.000 0.500
Al 0.500 0.000 0.000
In 0.500 0.500 0.500

Output
The calculation puts the energy of formation at 4.86 kJ per mole of atoms. Its space group is P4/mmm. The calculation puts the magnetic moment at 0.00 μB/f.u. The calculation puts the density of states at the Fermi level at 2.0 states/eV/cell.

(11)
# Mg2Al2In

A PBEsol-optimized structure of Mg2Al2In (meta-GGA SCAN, the Alexandria database).

Cell lengths 3.114, 8.152, 8.152 Å; angles 90.00, 90.00, 90.00 degrees
Element x y z (fractional)
Mg 0.500 0.181 0.681
Mg 0.500 0.319 0.181
Mg 0.500 0.819 0.319
Mg 0.500 0.681 0.819
In 0.000 0.500 0.500
In 0.000 0.000 0.000
Al 0.000 0.384 0.884
Al 0.000 0.616 0.116
Al 0.000 0.116 0.384
Al 0.000 0.884 0.616

Output
The calculation puts the energy of formation at 4.68 kJ per mole of atoms. Its space group is P4/mbm. The calculation puts the magnetic moment at 0.00 μB/f.u. The calculation puts the density of states at the Fermi level at 4.0 states/eV/cell.

(12)
# Mg16Al12In

A PBEsol-optimized structure of Mg16Al12In (meta-GGA SCAN, the Alexandria database).

Cell lengths 9.029, 9.025, 9.025 Å; angles 109.04, 109.07, 109.07 degrees
Element x y z (fractional)
Mg 0.000 0.999 0.999
Mg 0.995 0.997 0.348
Mg 0.600 0.315 0.997
Mg 0.345 0.000 0.000
Mg 0.318 0.599 0.001
Mg 0.001 0.321 0.601
Mg 0.600 0.997 0.315
Mg 0.995 0.348 0.997
Mg 0.683 0.288 0.681
Mg 0.400 0.401 0.714
Mg 0.664 0.657 0.657
Mg 0.400 0.714 0.401
Mg 0.289 0.686 0.686
Mg 0.683 0.681 0.288
Mg 0.318 0.001 0.599
Mg 0.001 0.601 0.321
Al 0.359 0.365 0.177
Al 0.633 0.000 0.813
Al 0.187 0.189 0.819
Al 0.633 0.813 0.000
Al 0.007 0.638 0.822
Al 0.817 0.632 0.002
Al 0.819 0.181 0.181
Al 0.817 0.002 0.632
Al 0.359 0.177 0.365
Al 0.178 0.368 0.368
Al 0.187 0.819 0.189
Al 0.007 0.822 0.638
In 0.705 0.389 0.389

Output
The calculation puts the energy of formation at -2.62 kJ per mole of atoms. Its space group is Cm. The calculation puts the magnetic moment at 0.00 μB/f.u. The calculation puts the density of states at the Fermi level at 9.6 states/eV/cell.

(13)
# Mg16Al12In

A PBEsol-optimized structure of Mg16Al12In (meta-GGA SCAN, the Alexandria database).

Cell lengths 9.085, 9.085, 9.085 Å; angles 109.47, 109.47, 109.47 degrees
Element x y z (fractional)
Mg 0.400 0.715 0.400
Mg 0.000 0.315 0.600
Mg 0.656 0.656 0.656
Mg 0.685 0.285 0.685
Mg 0.000 0.344 0.000
Mg 0.315 0.600 0.000
Mg 0.400 0.400 0.715
Mg 0.600 0.315 0.000
Mg 0.344 0.000 0.000
Mg 0.000 0.000 0.344
Mg 0.715 0.400 0.400
Mg 0.285 0.685 0.685
Mg 0.315 0.000 0.600
Mg 0.600 0.000 0.315
Mg 0.685 0.685 0.285
Mg 0.000 0.600 0.315
Al 0.000 0.814 0.630
Al 0.183 0.370 0.370
Al 0.814 0.000 0.630
Al 0.814 0.630 0.000
Al 0.000 0.630 0.814
Al 0.186 0.817 0.186
Al 0.630 0.000 0.814
Al 0.630 0.814 0.000
Al 0.370 0.183 0.370
Al 0.370 0.370 0.183
Al 0.817 0.186 0.186
Al 0.186 0.186 0.817
In 0.000 0.000 0.000

Output
The calculation puts the energy of formation at -0.86 kJ per mole of atoms. Its space group is I-43m. The calculation puts the magnetic moment at 0.00 μB/f.u. The calculation puts the density of states at the Fermi level at 8.0 states/eV/cell.

(14)
# MgAl2In

A PBEsol-optimized structure of MgAl2In (meta-GGA SCAN, the Alexandria database).

Cell lengths 3.090, 3.090, 8.243 Å; angles 90.00, 90.00, 90.00 degrees
Element x y z (fractional)
Mg 0.500 0.500 0.768
Al 0.000 0.000 0.014
Al 0.500 0.500 0.228
In 0.000 0.000 0.490

Output
The calculation puts the energy of formation at 2.18 kJ per mole of atoms. Its space group is P4mm. The calculation puts the magnetic moment at 0.00 μB/f.u. The calculation puts the density of states at the Fermi level at 1.4 states/eV/cell.

One value per record, in order, for calculated total energy: -118.90; -119.09; -93.17; -119.53; -77.40; -76.89; -77.35; -43.71; -77.41; -87.83; -117.19; -206.78; -206.25; -53.77 eV/cell.